{
  "formula": "In6Ga3Br14",
  "functional": "PBE",
  "state": "optimized geometry",
  "lattice": [[6.4941, 0.0000, 0.0000], [0.0000, 10.5449, -6.0881], [0.0000, 0.0000, 12.1762]],
  "species": ["In", "In", "In", "In", "In", "In", "Ga", "Ga", "Ga", "Br", "Br", "Br", "Br", "Br", "Br", "Br", "Br", "Br", "Br", "Br", "Br", "Br", "Br"],
  "fractional_positions": [[0.2268, 0.7742, 0.1073], [0.2268, 0.8927, 0.6669], [0.2268, 0.3331, 0.2258], [0.7519, 0.5545, 0.5590], [0.7519, 0.4410, 0.9955], [0.7519, 0.0045, 0.4455], [0.8255, 0.0000, 0.0000], [0.3420, 0.3333, 0.6667], [0.5059, 0.6667, 0.3333], [0.9531, 0.0675, 0.2074], [0.9531, 0.7926, 0.8602], [0.9531, 0.1398, 0.9325], [0.4677, 0.2615, 0.4583], [0.4677, 0.5417, 0.8032], [0.4677, 0.1968, 0.7385], [0.4648, 0.0000, 0.0000], [0.9806, 0.3333, 0.6667], [0.7378, 0.7380, 0.1839], [0.7378, 0.8161, 0.5541], [0.7378, 0.4459, 0.2620], [0.2707, 0.5980, 0.4852], [0.2707, 0.5148, 0.1128], [0.2707, 0.8872, 0.4020]],
  "formation_energy_uncorrected_ev_per_atom": -0.718,
  "sg": "No. 143"
}